## ReAs (PBE)

Data for ReAs after structural relaxation.

## Properties
Electronic total energy: -62.166 eV per cell
Total moment: 0.000 μB per formula unit
DFT formation energy: 0.778 eV/atom
Relative energy among the computed polymorphs: 0.703 eV/atom

a b c (Å): 5.9581 5.9581 4.7059
angles (deg): 90.00 90.00 90.00
With the nearest neighbours (Å) after each atom.
Space group P4_2/mnm (No. 136)
Symmetry-distinct sites (fractional):
Re 0.1361 0.1361 0.0000 x4  1 Re 2.29, 2 As 2.46
As 0.2224 0.2224 0.5000 x4  4 Re 2.46-2.61

## La8Nd3Ho2 (PBE)

Data for La8Nd3Ho2 after structural relaxation.

## Properties
Electronic total energy: -121.039 eV per cell
Total moment: 0.000 μB per formula unit
DFT formation energy: 0.181 eV/atom
Relative energy among the computed polymorphs: 0.040 eV/atom

a b c (Å): 20.6898 7.7453 5.9353
angles (deg): 90.00 90.04 90.00
With the nearest neighbours (Å) after each atom.
Space group C2/m (No. 12)
Symmetry-distinct sites (fractional):
La 0.1066 0.2043 0.0004 x8  1 La 3.16, 1 Nd 3.18, 1 Ho 3.52
La 0.1356 0.5000 0.4995 x4  2 Nd 3.56, 2 Ho 3.68-3.70, 7 La 3.79-3.96
La 0.1759 0.0000 0.5015 x4  2 Ho 3.42, 4 La 3.65-3.66
Nd 0.0000 0.2176 0.5000 x4  3 Nd 3.37-3.69, 6 La 3.56-3.70
Nd 0.0000 0.5000 0.0000 x2  4 La 3.18
Ho 0.2416 0.5000 0.9983 x4  8 La 3.42-3.70

## PrTmH (PBE)

Data for PrTmH after structural relaxation.

## Properties
Electronic total energy: -106.151 eV per cell
Total moment: 0.000 μB per formula unit
Relative energy among the computed polymorphs: 0.000 eV/atom

a b c (Å): 9.6419 10.0433 6.0687
angles (deg): 90.00 101.66 90.00
With the nearest neighbours (Å) after each atom.
Space group C2/c (No. 15)
Symmetry-distinct sites (fractional):
Pr 0.1873 0.0955 0.2980 x8  1 H 2.27
Tm 0.0000 0.2287 0.7500 x4  2 H 2.16
Tm 0.0000 0.4111 0.2500 x4  4 H 2.16-2.18
H 0.0721 0.4090 0.6141 x8  3 Tm 2.16-2.18, 1 Pr 2.27, 1 H 2.36

## YMnBe2 (PBE)

Data for YMnBe2 after structural relaxation.

## Properties
Electronic total energy: -86.033 eV per cell
Total moment: 1.418 μB per formula unit
DFT formation energy: 0.394 eV/atom
Relative energy among the computed polymorphs: 0.368 eV/atom

a b c (Å): 4.1071 4.1071 15.6598
angles (deg): 90.00 90.00 90.00
With the nearest neighbours (Å) after each atom.
Space group I4_1/amd (No. 141, origin choice 2)
Symmetry-distinct sites (fractional):
Y 0.0000 0.2500 0.3750 x4  4 Mn 2.90, 8 Be 3.02
Mn 0.0000 0.2500 0.8750 x4  4 Be 2.21
Be 0.0000 0.0000 0.0000 x8  2 Be 2.05, 2 Mn 2.21

## Na2Y3ErSe6 (PBE)

Data for Na2Y3ErSe6 after structural relaxation.

## Properties
Electronic total energy: -136.300 eV per cell
Total moment: 0.000 μB per formula unit
Raw formation energy: -1.721 eV/atom

a b c (Å): 7.1049 12.2898 7.1650
angles (deg): 90.00 109.24 90.00
With the nearest neighbours (Å) after each atom.
Space group C2/m (No. 12)
Symmetry-distinct sites (fractional):
Na 0.0000 0.1658 0.0000 x4  6 Se 2.93-2.94
Y 0.0000 0.0000 0.5000 x2  6 Se 2.89-2.93
Y 0.0000 0.3304 0.5000 x4  6 Se 2.89-2.92
Er 0.0000 0.5000 0.0000 x2  6 Se 2.88-2.89
Se 0.2414 0.5000 0.7452 x4  1 Er 2.89, 3 Y 2.90-2.93, 2 Na 2.94
Se 0.2472 0.3364 0.2509 x8  1 Er 2.88, 3 Y 2.89-2.92, 2 Na 2.93-2.94

## ZrAl6V4 (PBE)

Data for ZrAl6V4 after structural relaxation.

## Properties
Electronic total energy: -131.834 eV per cell
Total moment: 0.000 μB per formula unit
DFT formation energy: 0.142 eV/atom

a b c (Å): 6.5992 6.5992 9.2309
angles (deg): 90.00 90.00 90.00
With the nearest neighbours (Å) after each atom.
Space group I-42m (No. 121)
Symmetry-distinct sites (fractional):
Zr 0.0000 0.0000 0.0000 x2  12 Al 3.22-3.45, 4 V 3.35
Al 0.0000 0.5000 0.0000 x4  4 V 2.60
Al 0.1968 0.1968 0.2859 x8  4 V 2.51-2.67
V 0.1464 0.1464 0.5646 x8  2 V 2.27, 1 Al 2.51

## AsBr2Cl (PBE)

Data for AsBr2Cl after structural relaxation.

## Properties
Electronic total energy: -23.087 eV per cell
Total moment: 0.000 μB per formula unit
Relative energy among the computed polymorphs: 0.103 eV/atom
Raw formation energy: -0.425 eV/atom

a b c (Å): 5.0225 14.4910 3.8153
angles (deg): 90.00 90.00 90.00
With the nearest neighbours (Å) after each atom.
Space group Cmmm (No. 65)
Symmetry-distinct sites (fractional):
As 0.0000 0.0000 0.0000 x2  2 Cl 2.51, 4 Br 2.68
Br 0.0000 0.1296 0.5000 x4  2 As 2.68
Cl 0.0000 0.5000 0.0000 x2  2 As 2.51

## Pm4Nd2Te3N2 (PBE)

Data for Pm4Nd2Te3N2 after structural relaxation.

## Properties
Electronic total energy: -135.252 eV per cell
Total moment: 0.000 μB per formula unit
Raw formation energy: -1.183 eV/atom

a b c (Å): 4.7100 4.7100 26.4058
angles (deg): 90.00 90.00 90.00
With the nearest neighbours (Å) after each atom.
Space group I4/mmm (No. 139)
Symmetry-distinct sites (fractional):
Pm 0.0000 0.5000 0.0828 x8  2 N 2.44
Nd 0.0000 0.0000 0.1948 x4  1 N 2.32
Te 0.0000 0.0000 0.3228 x4  5 Nd 3.36-3.38, 4 Pm 3.43
Te 0.0000 0.0000 0.5000 x2  8 Pm 3.21
N 0.0000 0.0000 0.1070 x4  1 Nd 2.32, 4 Pm 2.44